Computed, not measured: a PBEsol-optimized structure of Mg2MnSi at the SCAN level of DFT.

Output
formation energy without anion corrections	-21	meV/atom

Structure (POSCAR):
```
Mg2MnSi
1.0
3.029 0.000 0.000
0.000 3.029 0.000
0.000 0.000 6.939
Mg Mn Si
2 1 1
Direct
0.000 0.000 0.000
0.500 0.500 0.340
0.000 0.000 0.598
0.500 0.500 0.729
```

Computed, not measured: a PBEsol-optimized structure of BaCd3 at the SCAN level of DFT.

Output
formation energy	-0.222	eV/atom

Structure (POSCAR):
```
BaCd3
1.0
7.558 0.000 0.000
0.000 7.558 0.000
0.000 0.000 7.558
Ba Cd
4 12
Direct
0.000 0.000 0.000
0.000 0.500 0.500
0.500 0.000 0.500
0.500 0.500 0.000
0.000 0.000 0.500
0.000 0.500 0.000
0.250 0.250 0.250
0.250 0.250 0.750
0.250 0.750 0.250
0.250 0.750 0.750
0.500 0.000 0.000
0.500 0.500 0.500
0.750 0.250 0.250
0.750 0.250 0.750
0.750 0.750 0.250
0.750 0.750 0.750
```

Computed, not measured: a PBEsol-optimized structure of LaZrBe2 at the SCAN level of DFT.

Output
formation energy	0.055	eV/atom

Structure (POSCAR):
```
LaZrBe2
1.0
3.325 0.000 0.000
0.000 3.325 0.000
0.000 0.000 6.669
La Zr Be
1 1 2
Direct
0.000 0.000 0.000
0.000 0.000 0.500
0.500 0.500 0.309
0.500 0.500 0.691
```

Computed, not measured: a PBEsol-optimized structure of CsTe2N at the SCAN level of DFT.

Output
formation energy without anion corrections	119	meV/atom

Structure (POSCAR):
```
CsTe2N
1.0
6.224 0.000 0.000
0.000 6.224 0.000
0.000 0.000 13.371
Cs Te N
4 8 4
Direct
0.000 0.250 0.375
0.000 0.750 0.625
0.500 0.250 0.125
0.500 0.750 0.875
0.000 0.000 0.000
0.000 0.500 0.000
0.250 0.250 0.750
0.250 0.750 0.250
0.500 0.000 0.500
0.500 0.500 0.500
0.750 0.250 0.750
0.750 0.750 0.250
0.000 0.250 0.875
0.000 0.750 0.125
0.500 0.250 0.625
0.500 0.750 0.375
```

Computed, not measured: a PBEsol-optimized structure of Al3Cr at the SCAN level of DFT.

Output
formation energy	-0.155	eV/atom

Structure (POSCAR):
```
Al3Cr
1.0
2.878 0.000 0.000
0.000 8.657 0.000
0.000 0.000 4.583
Al Cr
6 2
Direct
0.000 0.000 0.000
0.000 0.238 0.627
0.000 0.762 0.627
0.500 0.262 0.127
0.500 0.500 0.500
0.500 0.738 0.127
0.000 0.500 0.978
0.500 0.000 0.478
```

Computed, not measured: a PBEsol-optimized structure of La8Ni4O17 at the SCAN level of DFT.

Output
formation energy without anion corrections	-2978	meV/atom

Structure (POSCAR):
```
La8Ni4O17
1.0
6.752 0.000 0.000
-2.233 7.395 0.000
-1.069 -4.282 7.316
La Ni O
8 4 17
Direct
0.000 0.000 0.000
0.004 0.502 0.991
0.427 0.040 0.353
0.433 0.790 0.858
0.437 0.537 0.351
0.445 0.297 0.860
0.987 0.253 0.494
0.993 0.760 0.502
0.712 0.021 0.677
0.717 0.521 0.673
0.718 0.274 0.175
0.722 0.773 0.183
0.047 0.619 0.703
0.051 0.145 0.757
0.053 0.945 0.325
0.055 0.380 0.261
0.214 0.832 0.053
0.376 0.898 0.597
0.378 0.406 0.605
0.386 0.202 0.091
0.387 0.585 0.085
0.685 0.889 0.422
0.688 0.384 0.417
0.702 0.015 0.172
0.707 0.140 0.924
0.724 0.775 0.678
0.725 0.278 0.682
0.732 0.655 0.931
0.762 0.537 0.185
```

Computed, not measured: a PBEsol-optimized structure of Nb3Cr at the SCAN level of DFT.

Output
formation energy	0.295	eV/atom

Structure (POSCAR):
```
Nb3Cr
1.0
4.082 0.000 0.000
0.000 4.082 0.000
0.000 0.000 4.082
Nb Cr
3 1
Direct
0.000 0.000 0.500
0.000 0.500 0.000
0.500 0.000 0.000
0.500 0.500 0.500
```

Computed, not measured: a PBEsol-optimized structure of BiP2HS at the SCAN level of DFT.

Structure (POSCAR):
```
BiP2HS
1.0
5.340 0.000 0.000
0.000 5.340 0.000
0.000 0.000 5.253
Bi P H S
1 2 1 1
Direct
0.000 0.000 0.000
0.000 0.500 0.000
0.500 0.000 0.000
0.500 0.500 0.500
0.000 0.000 0.500
```

Computed, not measured: a PBEsol-optimized structure of Al5Si at the SCAN level of DFT.

Output
formation energy without anion corrections	95	meV/atom
distance to the lowest polymorph of the same formula	0.000	eV/atom

Structure (POSCAR):
```
Al5Si
1.0
4.095 0.000 0.000
0.000 11.960 0.000
0.000 0.000 3.864
Al Si
10 2
Direct
0.000 0.000 0.000
0.000 0.167 0.500
0.000 0.335 0.000
0.000 0.665 0.000
0.000 0.833 0.500
0.500 0.165 0.000
0.500 0.333 0.500
0.500 0.500 0.000
0.500 0.667 0.500
0.500 0.835 0.000
0.000 0.500 0.500
0.500 0.000 0.500
```

Computed, not measured: a PBEsol-optimized structure of Li5Cu at the SCAN level of DFT.

Output
formation energy	0.018	eV/atom
distance to the lowest polymorph of the same formula	0.000	eV/atom

Structure (POSCAR):
```
Li5Cu
1.0
2.906 0.000 0.000
0.000 2.906 0.000
0.000 0.000 11.986
Li Cu
5 1
Direct
0.000 0.000 0.000
0.000 0.000 0.374
0.000 0.000 0.626
0.500 0.500 0.190
0.500 0.500 0.810
0.500 0.500 0.500
```

Computed, not measured: a PBEsol-optimized structure of Pb3AuSe at the SCAN level of DFT.

Output
formation energy without anion corrections	514	meV/atom

Structure (POSCAR):
```
Pb3AuSe
1.0
5.542 0.000 0.000
0.000 5.542 0.000
0.000 0.000 5.542
Pb Au Se
3 1 1
Direct
0.000 0.000 0.500
0.000 0.500 0.000
0.500 0.000 0.000
0.500 0.500 0.500
0.000 0.000 0.000
```

Computed, not measured: a PBEsol-optimized structure of MgCdBr at the SCAN level of DFT.

Output
formation energy without anion corrections	-543	meV/atom

Structure (POSCAR):
```
MgCdBr
1.0
3.685 0.000 0.000
-1.843 3.192 0.000
0.000 0.000 6.414
Mg Cd Br
1 1 1
Direct
0.000 0.000 0.000
0.667 0.333 0.305
0.333 0.667 0.739
```

Computed, not measured: a PBEsol-optimized structure of Ag2AsP at the SCAN level of DFT.

Output
formation energy	0.367	eV/atom
distance to the lowest polymorph of the same formula	0.015	eV/atom

Structure (POSCAR):
```
Ag2AsP
1.0
2.950 0.000 0.000
0.000 4.050 0.000
-0.044 0.000 5.668
Ag As P
2 1 1
Direct
0.002 0.000 0.255
0.998 0.000 0.745
0.500 0.500 0.000
0.500 0.500 0.500
```

Computed, not measured: a PBEsol-optimized structure of NdMgSi2 at the SCAN level of DFT.

Output
formation energy without anion corrections	-557	meV/atom

Structure (POSCAR):
```
NdMgSi2
1.0
-2.104 2.104 18.299
2.104 -2.104 18.299
2.104 2.104 -18.299
Nd Mg Si
4 4 8
Direct
0.297 0.547 0.750
0.453 0.703 0.750
0.547 0.297 0.250
0.703 0.453 0.250
0.125 0.375 0.750
0.375 0.125 0.250
0.625 0.875 0.750
0.875 0.625 0.250
0.014 0.764 0.250
0.077 0.827 0.250
0.173 0.923 0.250
0.236 0.986 0.250
0.764 0.014 0.750
0.827 0.077 0.750
0.923 0.173 0.750
0.986 0.236 0.750
```

Computed, not measured: a PBEsol-optimized structure of KCdPt4 at the SCAN level of DFT.

Output
formation energy	-0.227	eV/atom

Structure (POSCAR):
```
KCdPt4
1.0
0.000 3.781 3.781
3.781 0.000 3.781
3.781 3.781 0.000
K Cd Pt
1 1 4
Direct
0.000 0.000 0.000
0.750 0.750 0.750
0.375 0.375 0.375
0.375 0.375 0.874
0.375 0.874 0.375
0.874 0.375 0.375
```

Computed, not measured: a PBEsol-optimized structure of Na2MnS2O8 at the SCAN level of DFT.

Output
formation energy without anion corrections	-1957	meV/atom

Structure (POSCAR):
```
Na2MnS2O8
1.0
5.031 -4.072 0.000
5.031 4.072 0.000
-4.025 0.000 7.771
Na Mn S O
4 2 4 16
Direct
0.090 0.185 0.442
0.185 0.090 0.942
0.815 0.910 0.058
0.910 0.815 0.558
0.415 0.585 0.250
0.585 0.415 0.750
0.100 0.522 0.815
0.478 0.900 0.685
0.522 0.100 0.315
0.900 0.478 0.185
0.021 0.761 0.856
0.091 0.617 0.270
0.225 0.468 0.689
0.239 0.979 0.644
0.246 0.464 0.971
0.383 0.909 0.230
0.464 0.246 0.471
0.468 0.225 0.189
0.532 0.775 0.811
0.536 0.754 0.529
0.617 0.091 0.770
0.754 0.536 0.029
0.761 0.021 0.356
0.775 0.532 0.311
0.909 0.383 0.730
0.979 0.239 0.144
```

Computed, not measured: a PBEsol-optimized structure of LaPIr2 at the SCAN level of DFT.

Output
formation energy	-0.943	eV/atom

Structure (POSCAR):
```
LaPIr2
1.0
4.042 0.000 0.000
0.000 4.042 0.000
0.000 0.000 4.761
La P Ir
1 1 2
Direct
0.000 0.000 0.000
0.500 0.500 0.311
0.000 0.500 0.535
0.500 0.000 0.535
```

Computed, not measured: a PBEsol-optimized structure of Cs2SbPd at the SCAN level of DFT.

Output
formation energy without anion corrections	-336	meV/atom

Structure (POSCAR):
```
Cs2SbPd
1.0
12.776 0.000 0.000
0.000 12.776 0.000
0.000 0.000 5.006
Cs Sb Pd
8 4 4
Direct
0.085 0.750 0.125
0.250 0.085 0.875
0.250 0.415 0.375
0.415 0.750 0.625
0.585 0.250 0.625
0.750 0.585 0.375
0.750 0.915 0.875
0.915 0.250 0.125
0.000 0.000 0.500
0.000 0.500 0.750
0.500 0.000 0.250
0.500 0.500 0.000
0.000 0.000 0.000
0.000 0.500 0.250
0.500 0.000 0.750
0.500 0.500 0.500
```

Computed, not measured: a PBEsol-optimized structure of VH12SO11 at the SCAN level of DFT.

Structure (POSCAR):
```
VH12SO11
1.0
5.992 0.000 0.000
1.033 7.505 0.000
1.697 -0.049 10.057
V H S O
2 24 2 22
Direct
0.062 0.238 0.216
0.938 0.762 0.784
0.026 0.452 0.657
0.123 0.062 0.789
0.147 0.897 0.132
0.187 0.206 0.469
0.203 0.005 0.413
0.205 0.689 0.007
0.257 0.512 0.294
0.289 0.749 0.584
0.355 0.613 0.704
0.390 0.665 0.114
0.476 0.065 0.194
0.496 0.207 0.069
0.504 0.793 0.931
0.524 0.935 0.806
0.610 0.335 0.886
0.645 0.387 0.296
0.711 0.251 0.416
0.743 0.488 0.706
0.795 0.311 0.993
0.797 0.995 0.587
0.813 0.794 0.531
0.853 0.103 0.868
0.877 0.938 0.211
0.974 0.548 0.343
0.445 0.264 0.665
0.555 0.736 0.335
0.011 0.679 0.920
0.030 0.984 0.191
0.110 0.460 0.303
0.138 0.132 0.402
0.256 0.330 0.592
0.260 0.726 0.683
0.321 0.745 0.048
0.346 0.803 0.429
0.378 0.121 0.759
0.396 0.173 0.155
0.494 0.417 0.744
0.506 0.583 0.256
0.604 0.827 0.845
0.622 0.879 0.241
0.654 0.197 0.571
0.679 0.255 0.952
0.740 0.274 0.317
0.744 0.670 0.408
0.862 0.868 0.598
0.890 0.540 0.697
0.970 0.016 0.809
0.989 0.321 0.080
```

Computed, not measured: a PBEsol-optimized structure of Al2CuW at the SCAN level of DFT.

Output
formation energy	-0.115	eV/atom
distance to the lowest polymorph of the same formula	0.000	eV/atom

Structure (POSCAR):
```
Al2CuW
1.0
5.581 0.000 0.000
0.000 7.424 0.000
0.000 0.000 2.754
Al Cu W
4 2 2
Direct
0.250 0.250 0.000
0.250 0.750 0.000
0.750 0.250 0.000
0.750 0.750 0.000
0.000 0.000 0.500
0.500 0.500 0.500
0.000 0.500 0.500
0.500 0.000 0.500
```

Computed, not measured: a PBEsol-optimized structure of Ti2CrBiS at the SCAN level of DFT.

Output
formation energy without anion corrections	944	meV/atom

Structure (POSCAR):
```
Ti2CrBiS
1.0
5.238 0.000 0.000
0.000 5.238 0.000
0.000 0.000 5.070
Ti Cr Bi S
2 1 1 1
Direct
0.000 0.500 0.000
0.500 0.000 0.000
0.000 0.000 0.500
0.000 0.000 0.000
0.500 0.500 0.500
```

Computed, not measured: a PBEsol-optimized structure of TaBe2Ir at the SCAN level of DFT.

Output
formation energy	-0.217	eV/atom

Structure (POSCAR):
```
TaBe2Ir
1.0
3.988 0.000 0.000
0.000 3.988 0.000
0.000 0.000 3.009
Ta Be Ir
1 2 1
Direct
0.000 0.000 0.000
0.000 0.500 0.500
0.500 0.000 0.500
0.500 0.500 0.000
```

Computed, not measured: a PBEsol-optimized structure of NbWSCl2 at the SCAN level of DFT.

Output
formation energy without anion corrections	623	meV/atom

Structure (POSCAR):
```
NbWSCl2
1.0
4.677 0.000 0.000
0.000 4.677 0.000
0.000 0.000 4.674
Nb W S Cl
1 1 1 2
Direct
0.000 0.000 0.000
0.500 0.500 0.500
0.500 0.500 0.000
0.000 0.500 0.500
0.500 0.000 0.500
```

| no. | DOS(E_F) (states/eV/f.u.) | E_tot (eV/f.u.) |
| --- | --- | --- |
| 1 | 0.9 | -38.301 |
| 2 | 2.1 | -131.681 |
| 3 | 1.7 | -82.290 |
| 4 | 1.1 | -121.128 |
| 5 | 1.6 | -42.259 |
| 6 | 1.6 | -601.817 |
| 7 | 4.0 | -116.595 |
| 8 | 2.8 | -104.352 |
| 9 | 2.2 | -48.207 |
| 10 | 2.1 | -27.039 |
| 11 | 2.6 | -314.008 |
| 12 | 0.6 | -56.477 |
| 13 | 1.3 | -91.856 |
| 14 | 0.9 | -70.815 |
| 15 | 3.8 | -320.879 |
| 16 | 0.0 | -121.227 |
| 17 | 1.1 | -199.476 |
| 18 | 2.4 | -147.000 |
| 19 | 0.0 | -170.470 |
| 20 | 1.4 | -100.849 |
| 21 | 5.6 | -133.931 |
| 22 | 2.9 | -147.256 |
| 23 | 4.2 | -125.285 |